[1]
An optimized crystal structure of PmMgSnPt3, computed with PBE.

Summary:
Final energy, eV/f.u.: -32.23
Fermi-level density of states, states/eV/cell: 3.57
Total magnetic moment, μB per formula unit: 0.0
SG: Cmcm, No. 63

Cell lengths 5.7084, 5.7051, 9.1723 Å; angles 108.12, 90.00, 90.00 degrees
Element x y z (fractional)
Pm (0.7500, 0.2173, 0.4347)
Pm (0.2500, 0.7827, 0.5653)
Pt (0.5000, 0.7617, 0.0000)
Pt (0.0000, 0.7617, 0.0000)
Pt (0.0000, 0.2383, 0.0000)
Pt (0.5000, 0.2383, 0.0000)
Pt (0.7500, 0.7474, 0.4948)
Pt (0.2500, 0.2526, 0.5052)
Mg (0.2500, 0.1022, 0.2044)
Mg (0.7500, 0.8978, 0.7956)
Sn (0.7500, 0.5955, 0.1910)
Sn (0.2500, 0.4045, 0.8090)

[2]
An optimized crystal structure of PmMgTlPt, computed with PBE.

Summary:
Final energy, eV/f.u.: -17.05
Fermi-level density of states, states/eV/cell: 2.00
Total magnetic moment, μB per formula unit: 0.0
SG: F-43m, No. 216

Cell lengths 5.0410, 5.0410, 5.0410 Å; angles 60.00, 60.00, 60.00 degrees
Element x y z (fractional)
Mg (0.0000, 0.0000, 0.0000)
Pt (0.7500, 0.7500, 0.7500)
Pm (0.5000, 0.5000, 0.5000)
Tl (0.2500, 0.2500, 0.2500)

[3]
An optimized crystal structure of PmMgZn2Pt2, computed with PBE.

Summary:
Final energy, eV/f.u.: -25.69
Fermi-level density of states, states/eV/cell: 1.82
Total magnetic moment, μB per formula unit: 0.0
SG: P-3m1, No. 164

Cell lengths 4.4285, 4.4285, 6.6826 Å; angles 90.00, 90.00, 120.00 degrees
Element x y z (fractional)
Mg (0.0000, 0.0000, 0.5000)
Zn (0.6667, 0.3333, 0.6960)
Zn (0.3333, 0.6667, 0.3040)
Pt (0.3333, 0.6667, 0.7166)
Pt (0.6667, 0.3333, 0.2834)
Pm (0.0000, 0.0000, 0.0000)